Compound: NaPm2O4
Source: OQMD via LeMat-Bulk
Functional: PBE
Structure: optimized geometry

Geometry as extended XYZ:
```
14
Lattice="4.9812 -4.9822 0.0000 -4.9812 0.0000 -4.9822 4.9812 4.9822 0.0000" Properties=species:S:1:pos:R:3 pbc="T T T"
O 3.5824 1.3996 -3.5826
Pm -1.2453 -1.2456 -3.7366
Na 2.4906 -2.4911 -2.4911
Pm 6.2265 -1.2456 -1.2456
O 3.5824 3.5826 -1.3996
O -1.0918 1.0915 -3.8907
O 1.0918 -1.0915 -3.8907
Na 0.0000 0.0000 0.0000
O 6.0730 1.0915 -1.0915
Pm 1.2453 1.2456 -3.7366
O 1.3988 1.3996 -1.3996
Pm 3.7359 1.2456 -1.2456
O 3.8895 -1.0915 -1.0915
O 1.3988 3.5826 -3.5826
```

M_tot	2.0	μB per cell
calculated volume	247	Å³/cell
total energy	-96.903	eV/cell
symmetry	No. 227


Compound: Ho3TmC2Se2
Source: OQMD via LeMat-Bulk
Functional: PBE
Structure: optimized geometry

Geometry as extended XYZ:
```
8
Lattice="-3.4417 1.0229 -1.0089 0.7393 -3.5794 0.7421 -3.1175 1.9765 12.6386" Properties=species:S:1:pos:R:3 pbc="T T T"
Se -2.9937 -0.5622 9.6423
Ho -1.8994 -1.2559 5.2060
Se -2.8205 -0.0214 2.7066
C -0.0046 0.0029 0.0185
Tm -0.9656 -1.8479 1.4204
C -1.5578 0.9876 6.3153
Ho -3.9190 0.6750 7.1598
Ho -4.8578 1.2702 10.9659
```

M_tot	0.0	μB per cell
calculated volume	159	Å³/cell
total energy	-52.984	eV/cell
symmetry	No. 156


Compound: Np2InS4Br
Source: OQMD via LeMat-Bulk
Functional: PBE
Structure: optimized geometry

Geometry as extended XYZ:
```
8
Lattice="6.3755 -1.9490 0.0000 6.3755 1.9490 0.0000 -4.2503 0.0000 8.1371" Properties=species:S:1:pos:R:3 pbc="T T T"
Br 4.2503 0.0000 4.0685
In 0.0000 0.0000 0.0000
S 1.0838 0.0000 2.3095
S 7.4168 0.0000 5.8276
S 4.5016 0.0000 0.6107
Np -0.8498 0.0000 6.1864
Np 9.3505 0.0000 1.9507
S 3.9990 0.0000 7.5264
```

M_tot	8.0	μB per cell
calculated volume	202	Å³/cell
total energy	-54.828	eV/cell
symmetry	No. 12


Compound: PtW2
Source: OQMD via LeMat-Bulk
Functional: PBE
Structure: optimized geometry

Geometry as extended XYZ:
```
6
Lattice="0.0000 3.6871 3.6871 3.6871 0.0000 3.6871 3.6871 3.6871 0.0000" Properties=species:S:1:pos:R:3 pbc="T T T"
W 4.6088 4.6088 4.6088
W 2.7653 4.6088 2.7653
Pt 0.0000 0.0000 0.0000
W 2.7653 2.7653 4.6088
W 4.6088 2.7653 2.7653
Pt 1.8435 1.8435 1.8435
```

M_tot	0.0	μB per cell
calculated formation energy	365	meV per atom
calculated volume	100	Å³/cell
total energy	-61.762	eV/cell
energy above the most stable polymorph in this dataset	244.9	meV/atom
symmetry	No. 227


Compound: GdEr2Mg3Al2Zn
Source: OQMD via LeMat-Bulk
Functional: PBE
Structure: optimized geometry

Geometry as extended XYZ:
```
9
Lattice="4.4615 0.0000 0.0000 0.0000 6.3860 3.6524 0.0000 -6.3860 3.6524" Properties=species:S:1:pos:R:3 pbc="T T T"
Al 2.2307 2.1462 3.6427
Al 2.2307 -2.1462 3.6427
Mg 2.2307 4.8457 2.7747
Mg 2.2307 -4.8457 2.7747
Gd 0.0000 0.0000 4.2296
Mg 2.2307 0.0000 1.7647
Er 0.0000 3.6999 5.1799
Zn 0.0000 0.0000 0.0303
Er 0.0000 -3.6999 5.1799
```

M_tot	0.0	μB per cell
calculated volume	208	Å³/cell
total energy	-29.994	eV/cell
symmetry	No. 38


Compound: NbFe2Si
Source: OQMD via LeMat-Bulk
Functional: PBE
Structure: optimized geometry

Geometry as extended XYZ:
```
4
Lattice="-0.6181 2.4983 3.3162 -3.9023 0.8203 1.3115 -1.3819 -1.6183 3.6184" Properties=species:S:1:pos:R:3 pbc="T T T"
Si -2.9512 0.8502 4.1230
Fe -4.4267 1.2752 6.1846
Nb -1.4756 0.4251 2.0615
Fe 0.0000 0.0000 0.0000
```

M_tot	3.6	μB per cell
calculated volume	52	Å³/cell
total energy	-32.837	eV/cell
symmetry	No. 216


Compound: RbTbNiSe3
Source: OQMD via LeMat-Bulk
Functional: PBE
Structure: optimized geometry

Geometry as extended XYZ:
```
24
Lattice="11.2998 0.0000 0.0000 0.0000 4.3264 0.0000 0.0000 0.0000 12.6681" Properties=species:S:1:pos:R:3 pbc="T T T"
Se 8.1566 1.0816 9.9120
Tb 0.0888 3.2448 2.0440
Tb 5.5611 1.0816 8.3781
Tb 5.7387 3.2448 4.2900
Ni 8.6413 1.0816 2.6813
Se 3.1432 3.2448 2.7561
Se 8.7931 3.2448 3.5780
Se 1.2970 3.2448 12.0026
Se 5.0304 3.2448 10.2258
Se 6.9469 3.2448 6.9996
Rb 1.8377 3.2448 6.3435
Se 10.6803 3.2448 8.7764
Se 0.6195 1.0816 3.8917
Rb 3.8122 1.0816 0.0095
Se 4.3529 1.0816 5.6685
Ni 2.9914 1.0816 3.6528
Tb 11.2110 1.0816 10.6241
Rb 9.4621 1.0816 6.3246
Se 6.2694 1.0816 2.4423
Rb 7.4876 3.2448 12.6586
Se 10.0028 1.0816 0.6655
Se 2.5067 1.0816 9.0901
Ni 2.6585 3.2448 9.9869
Ni 8.3084 3.2448 9.0153
```

M_tot	0.3	μB per cell
calculated volume	619	Å³/cell
total energy	-113.546	eV/cell
symmetry	No. 62


Compound: Dy2YFe2B2N3
Source: OQMD via LeMat-Bulk
Functional: PBE
Structure: optimized geometry

Geometry as extended XYZ:
```
10
Lattice="-1.7231 1.7231 10.1969 1.7231 -1.7231 10.1969 1.7231 1.7231 -10.1969" Properties=species:S:1:pos:R:3 pbc="T T T"
N 0.0000 0.0000 2.3445
B 0.0000 0.0000 16.5655
Dy 0.0000 0.0000 12.6903
Fe 1.7231 0.0000 5.0985
Dy 0.0000 0.0000 7.7035
Y 0.0000 0.0000 0.0000
Fe 0.0000 1.7231 5.0985
N 0.0000 0.0000 18.0493
B 0.0000 0.0000 3.8283
N 0.0000 0.0000 10.1969
```

M_tot	2.4	μB per cell
calculated volume	121	Å³/cell
total energy	-82.289	eV/cell
symmetry	No. 139


Compound: Er3Te5Os
Source: OQMD via LeMat-Bulk
Functional: PBE
Structure: optimized geometry

Geometry as extended XYZ:
```
9
Lattice="8.6407 0.0000 0.0000 -4.3203 7.4831 0.0000 0.0000 0.0000 3.7767" Properties=species:S:1:pos:R:3 pbc="T T T"
Er -2.7991 4.8481 0.0000
Te 4.3203 2.4944 1.8884
Er 1.5213 2.6350 0.0000
Te -0.9808 1.6988 1.8884
Te 3.3395 5.7842 1.8884
Er 5.5981 0.0000 0.0000
Os 0.0000 0.0000 0.0000
Te 1.9616 0.0000 1.8884
Te 0.0000 4.9887 1.8884
```

M_tot	0.0	μB per cell
calculated volume	244	Å³/cell
total energy	-46.528	eV/cell
energy above the most stable polymorph in this dataset	47.8	meV/atom
symmetry	No. 189


Compound: LiGa2Ir
Source: OQMD via LeMat-Bulk
Functional: PBE
Structure: optimized geometry

Geometry as extended XYZ:
```
16
Lattice="6.0769 0.0000 0.0000 0.0000 4.3013 0.0000 0.0000 0.0000 8.5992" Properties=species:S:1:pos:R:3 pbc="T T T"
Ga 0.0000 3.2260 1.0852
Ga 3.0385 1.0753 3.2145
Ir 4.5578 1.0753 5.3637
Li 1.5191 1.0753 5.3604
Ir 4.5575 1.0753 1.0641
Li 4.5575 3.2260 7.5384
Ga 0.0000 3.2260 5.3845
Li 1.5194 1.0753 1.0608
Ga 3.0384 3.2260 5.3847
Ga 0.0000 1.0753 3.2147
Ga 3.0385 3.2260 1.0849
Ir 1.5194 3.2260 7.5352
Ir 1.5191 3.2260 3.2356
Ga 3.0384 1.0753 7.5143
Li 4.5579 3.2260 3.2389
Ga 0.0000 1.0753 7.5141
```

M_tot	0.0	μB per cell
calculated volume	225	Å³/cell
total energy	-75.229	eV/cell
energy above the most stable polymorph in this dataset	0.0	meV/atom
symmetry	No. 59


Compound: PmHgB4
Source: OQMD via LeMat-Bulk
Functional: PBE
Structure: optimized geometry

Geometry as extended XYZ:
```
6
Lattice="-2.1988 -2.1826 0.9044 3.1453 -0.6576 0.3013 -0.0567 3.1636 7.4971" Properties=species:S:1:pos:R:3 pbc="T T T"
Pm -0.0283 1.5818 3.7485
B -0.4316 -0.8808 2.5837
B 1.3497 -0.3725 2.3826
Hg 0.0000 0.0000 0.0000
B -0.4599 0.6959 6.3201
B 1.3215 1.2042 6.1191
```

M_tot	0.0	μB per cell
calculated volume	73	Å³/cell
total energy	-29.918	eV/cell
energy above the most stable polymorph in this dataset	233.6	meV/atom
symmetry	No. 191


Compound: RbLiPaSe3
Source: OQMD via LeMat-Bulk
Functional: PBE
Structure: optimized geometry

Geometry as extended XYZ:
```
12
Lattice="2.1308 -7.4928 0.0000 2.1308 7.4928 0.0000 0.0000 0.0000 11.0469" Properties=species:S:1:pos:R:3 pbc="T T T"
Se 2.1308 6.7041 8.2852
Se 2.1308 -6.7041 2.7617
Rb 2.1308 -3.5906 8.2852
Se 2.1308 -1.8526 4.9766
Se 2.1308 1.8526 10.5001
Pa 0.0000 0.0000 5.5235
Rb 2.1308 3.5906 2.7617
Pa 0.0000 0.0000 0.0000
Se 2.1308 -1.8526 0.5469
Li 2.1308 0.6045 8.2852
Li 2.1308 -0.6045 2.7617
Se 2.1308 1.8526 6.0703
```

M_tot	2.0	μB per cell
calculated volume	353	Å³/cell
total energy	-62.243	eV/cell
symmetry	No. 63


Compound: Cu5Ag4
Source: OQMD via LeMat-Bulk
Functional: PBE
Structure: optimized geometry

Geometry as extended XYZ:
```
9
Lattice="-1.3841 1.8699 12.5999 1.3841 -1.8699 12.5999 1.3841 1.8699 -12.5999" Properties=species:S:1:pos:R:3 pbc="T T T"
Cu 0.0000 0.0000 0.3095
Cu 0.0000 0.0000 19.4053
Ag 0.0000 0.0000 11.4998
Cu 0.0000 0.0000 16.5949
Ag 0.0000 0.0000 5.3973
Ag 0.0000 0.0000 22.4667
Cu 0.0000 0.0000 14.1445
Ag 0.0000 0.0000 8.2249
Cu 0.0000 0.0000 2.7558
```

calculated formation energy	85	meV per atom
calculated volume	130	Å³/cell
total energy	-29.121	eV/cell
energy above the most stable polymorph in this dataset	44.1	meV/atom
symmetry	No. 44


Compound: Fe3P
Source: OQMD via LeMat-Bulk
Functional: PBE
Structure: optimized geometry

Geometry as extended XYZ:
```
4
Lattice="3.9013 -0.2356 0.2082 1.6794 -2.4435 2.5550 1.8378 -3.2099 -1.2799" Properties=species:S:1:pos:R:3 pbc="T T T"
Fe 3.7092 -2.9445 0.7417
Fe 1.8546 -1.4723 0.3708
P 5.5638 -4.4168 1.1125
Fe 0.0000 0.0000 0.0000
```

M_tot	5.0	μB per cell
calculated volume	42	Å³/cell
total energy	-31.199	eV/cell
energy above the most stable polymorph in this dataset	49.3	meV/atom
symmetry	No. 225


Compound: RbNaSm
Source: OQMD via LeMat-Bulk
Functional: PBE
Structure: optimized geometry

Geometry as extended XYZ:
```
3
Lattice="-0.0745 -5.9739 0.8244 -5.2492 -2.8775 0.7341 -2.0893 -3.6184 -4.3491" Properties=species:S:1:pos:R:3 pbc="T T T"
Rb 0.0000 0.0000 0.0000
Na -1.8532 -3.1175 -0.6977
Sm -5.5597 -9.3524 -2.0929
```

M_tot	1.5	μB per cell
calculated volume	155	Å³/cell
total energy	-3.804	eV/cell
energy above the most stable polymorph in this dataset	71.8	meV/atom
symmetry	No. 216


Compound: KPuSn
Source: OQMD via LeMat-Bulk
Functional: PBE
Structure: optimized geometry

Geometry as extended XYZ:
```
3
Lattice="0.0000 3.8049 3.8049 3.8049 0.0000 3.8049 3.8049 3.8049 0.0000" Properties=species:S:1:pos:R:3 pbc="T T T"
K 5.7074 5.7074 5.7074
Sn 1.9025 1.9025 1.9025
Pu 0.0000 0.0000 0.0000
```

M_tot	5.1	μB per cell
calculated volume	110	Å³/cell
total energy	-18.050	eV/cell
energy above the most stable polymorph in this dataset	0.0	meV/atom
symmetry	No. 216


Compound: BaTl2Co
Source: OQMD via LeMat-Bulk
Functional: PBE
Structure: optimized geometry

Geometry as extended XYZ:
```
4
Lattice="-4.3938 -1.0379 -2.9158 -4.7202 2.1611 1.3905 -2.1858 3.8606 -3.0335" Properties=species:S:1:pos:R:3 pbc="T T T"
Co -2.8249 1.2460 -1.1397
Tl 0.0000 0.0000 0.0000
Ba -5.6499 2.4919 -2.2794
Tl -8.4748 3.7379 -3.4191
```

M_tot	0.0	μB per cell
calculated volume	110	Å³/cell
total energy	-12.059	eV/cell
symmetry	No. 216


Compound: Ag17As
Source: OQMD via LeMat-Bulk
Functional: PBE
Structure: optimized geometry

Geometry as extended XYZ:
```
36
Lattice="-4.4589 2.2222 -0.4105 -0.7053 -0.3551 5.7391 14.1390 28.9984 3.5320" Properties=species:S:1:pos:R:3 pbc="T T T"
Ag 0.5868 7.4533 3.4611
Ag -1.6137 6.1853 0.1901
Ag 10.5885 24.6802 8.6705
Ag 0.4463 5.0289 1.8280
Ag 6.1717 22.1486 2.1331
Ag 7.8717 20.7675 6.6382
Ag 9.0219 28.4989 5.8061
Ag 10.7929 22.4255 4.1760
Ag -0.0471 2.3666 3.0545
Ag 8.3881 23.4122 5.3995
Ag -2.4496 3.3902 4.2945
Ag -1.9649 6.0085 3.0485
Ag 9.5011 31.1141 4.5549
Ag 2.8031 8.7169 6.7274
Ag 8.8683 26.0608 4.1644
Ag 3.1548 8.8939 3.8660
Ag 0.1065 4.8047 4.6962
Ag 1.1031 10.0980 2.2223
Ag 5.8200 21.9716 4.9945
Ag 0.3031 2.5430 0.2046
Ag 0.2351 7.2762 6.3229
Ag -2.2295 1.1111 -0.2052
Ag 11.4244 27.4753 4.5660
Ag 5.9891 24.4325 6.6337
As 0.6911 9.8495 5.0802
Ag 8.6717 28.3225 8.6560
Ag 8.5285 25.8366 7.0326
Ag 10.9398 24.8570 5.8120
Ag 8.7398 23.5893 2.5376
Ag -2.5821 0.9335 2.6643
Ag -2.0978 3.5622 1.4246
Ag 11.0726 27.3033 7.4360
Ag -1.8181 8.4400 4.6846
As 8.2837 21.0159 3.7804
Ag 2.9857 6.4330 2.2269
Ag -0.5263 -0.2487 4.3057
```

calculated volume	940	Å³/cell
total energy	-102.908	eV/cell
energy above the most stable polymorph in this dataset	0.0	meV/atom
symmetry	No. 11


Compound: GdSiSb
Source: OQMD via LeMat-Bulk
Functional: PBE
Structure: optimized geometry

Geometry as extended XYZ:
```
3
Lattice="0.0000 3.4318 3.4318 3.4318 0.0000 3.4318 3.4318 3.4318 0.0000" Properties=species:S:1:pos:R:3 pbc="T T T"
Sb 5.1477 5.1477 5.1477
Gd 1.7159 1.7159 1.7159
Si 0.0000 0.0000 0.0000
```

M_tot	0.0	μB per cell
calculated volume	81	Å³/cell
total energy	-14.652	eV/cell
symmetry	No. 216


Compound: Nd3Mg3Ir2Au
Source: OQMD via LeMat-Bulk
Functional: PBE
Structure: optimized geometry

Geometry as extended XYZ:
```
9
Lattice="7.5498 0.0000 0.0000 -3.7749 6.5383 0.0000 0.0000 0.0000 4.1243" Properties=species:S:1:pos:R:3 pbc="T T T"
Nd 3.1756 0.0000 0.0000
Au 0.0000 0.0000 0.0000
Nd 2.1871 3.7882 0.0000
Mg 5.6586 0.0000 2.0621
Ir 3.7749 2.1794 2.0621
Mg -2.8293 4.9005 2.0621
Nd -1.5878 2.7502 0.0000
Mg 0.9456 1.6379 2.0621
Ir 0.0000 4.3589 2.0621
```

M_tot	0.0	μB per cell
calculated volume	204	Å³/cell
total energy	-45.535	eV/cell
symmetry	No. 189


Compound: AgPdSO
Source: OQMD via LeMat-Bulk
Functional: PBE
Structure: optimized geometry

Geometry as extended XYZ:
```
8
Lattice="-1.1940 -1.2865 3.8974 -1.3370 -3.7157 -1.6361 6.4151 -2.7709 1.0507" Properties=species:S:1:pos:R:3 pbc="T T T"
Pd -1.2297 -1.8938 2.5141
O 1.8259 -5.3602 2.3060
O 2.0582 -2.4128 1.0060
Pd -1.3012 -3.1084 -0.2527
S 3.2219 -5.9632 2.5346
S 0.6622 -1.8099 0.7774
Ag 4.0788 -3.2857 1.3370
Ag -0.1947 -4.4874 1.9750
```

calculated volume	129	Å³/cell
total energy	-35.224	eV/cell
energy above the most stable polymorph in this dataset	49.3	meV/atom
symmetry	No. 129


Compound: MgPd
Source: OQMD via LeMat-Bulk
Functional: PBE
Structure: optimized geometry

Geometry as extended XYZ:
```
24
Lattice="-2.9635 -13.8395 -1.4258 4.6174 -0.6006 -3.7636 2.8441 -0.9847 3.6464" Properties=species:S:1:pos:R:3 pbc="T T T"
Mg -1.4439 -11.8357 -2.0699
Pd 4.5654 -0.6363 -3.7326
Mg 1.3249 -11.7738 -1.1474
Pd 2.4192 -7.0815 -0.7339
Pd 4.6876 -7.1968 -2.5343
Pd -0.2852 -13.8421 -0.4502
Pd 2.8983 -2.7797 -3.0112
Pd -0.8121 -11.2337 0.6651
Pd 4.0037 -4.7474 -1.3394
Mg 3.5301 -2.1777 -0.2761
Mg 1.7579 -4.7175 0.4203
Mg 0.7072 -8.9232 0.1041
Pd 2.1383 -13.9778 -2.3770
Pd -0.3330 -6.9319 -1.6122
Mg 5.6222 -2.5893 -2.0190
Mg 3.1746 -9.3834 -1.9446
Pd -1.9175 -9.2660 -1.0066
Pd 2.0160 -7.4172 -3.5754
Pd -0.5921 -14.0109 -3.3217
Mg 1.0814 -12.0248 -4.0906
Mg 1.3791 -5.0903 -2.4502
Mg 0.7614 -2.2396 -1.1986
Mg 3.5291 -5.2306 -4.1650
Mg 0.3284 -9.2959 -2.7664
```

calculated volume	403	Å³/cell
total energy	-92.044	eV/cell
symmetry	No. 57